# 1
VASP calculation (PBE-GGA) on an optimized crystal structure of Dy4Er5Mg2.

Lattice parameters (Å, degrees): 3.3974 8.7782 12.3299 110.85 97.92 90.00
Element x y z (fractional)
Dy (0.0000, 0.3187, 0.0000)
Dy (0.7325, 0.7325, 0.4651)
Dy (0.0000, 0.6813, 0.0000)
Dy (0.2675, 0.2675, 0.5349)
Er (0.8606, 0.0568, 0.7212)
Er (0.8606, 0.6644, 0.7212)
Er (0.1394, 0.3356, 0.2788)
Er (0.1394, 0.9432, 0.2788)
Er (0.5000, 0.0000, 0.0000)
Mg (0.4013, 0.4013, 0.8026)
Mg (0.5987, 0.5987, 0.1974)

Calculated values
Its total magnetization is 0.0 Bohr magnetons per cell. The calculation puts the formation energy at 244 meV per atom. The value obtained for the mass density is 7.5 g/cm3. Its symmetry is Immm, No. 71.

# 2
VASP calculation (PBE-GGA) on an optimized crystal structure of Dy6Er12Mg.

Lattice parameters (Å, degrees): 8.5332 8.5332 8.5332 97.45 97.45 97.45
Element x y z (fractional)
Dy (0.1366, 0.1366, 0.4091)
Dy (0.8634, 0.5909, 0.8634)
Dy (0.5909, 0.8634, 0.8634)
Dy (0.8634, 0.8634, 0.5909)
Dy (0.1366, 0.4091, 0.1366)
Dy (0.4091, 0.1366, 0.1366)
Er (0.5914, 0.1660, 0.5914)
Er (0.1660, 0.5914, 0.5914)
Er (0.5914, 0.5914, 0.1660)
Er (0.4086, 0.8340, 0.4086)
Er (0.8340, 0.4086, 0.4086)
Er (0.4086, 0.4086, 0.8340)
Er (0.2616, 0.0001, 0.7384)
Er (0.2616, 0.7384, 0.9999)
Er (0.9999, 0.2616, 0.7384)
Er (0.7384, 0.9999, 0.2616)
Er (0.7384, 0.2616, 0.0001)
Er (0.0001, 0.7384, 0.2616)
Mg (0.0000, 0.0000, 0.0000)

Calculated values
Its total magnetization is 0.0 Bohr magnetons per cell. The calculation puts the formation energy at 143 meV per atom. The value obtained for the mass density is 8.3 g/cm3. Its symmetry is R-3m, No. 166.

# 3
VASP calculation (PBE-GGA) on an optimized crystal structure of Dy7Er2Mg2.

Lattice parameters (Å, degrees): 5.6517 8.0741 8.0741 85.89 73.89 73.89
Element x y z (fractional)
Dy (0.1848, 0.0150, 0.6024)
Dy (0.8152, 0.3976, 0.9850)
Dy (0.8152, 0.9850, 0.3976)
Dy (0.1848, 0.6024, 0.0150)
Dy (0.0000, 0.0000, 0.0000)
Dy (0.6717, 0.7776, 0.7776)
Dy (0.3283, 0.2224, 0.2224)
Er (0.5000, 0.2204, 0.7796)
Er (0.5000, 0.7796, 0.2204)
Mg (0.7848, 0.4440, 0.4440)
Mg (0.2152, 0.5560, 0.5560)

Calculated values
Its total magnetization is 0.0 Bohr magnetons per cell. The calculation puts the formation energy at 168 meV per atom. The value obtained for the mass density is 7.4 g/cm3. Its symmetry is C2/m, No. 12.

# 4
VASP calculation (PBE-GGA) on an optimized crystal structure of DyErMg6.

Lattice parameters (Å, degrees): 5.0706 6.5438 6.5438 112.33 90.00 90.00
Element x y z (fractional)
Dy (0.5000, 0.3799, 0.6201)
Er (0.0000, 0.1197, 0.8803)
Mg (0.0000, 0.0669, 0.3662)
Mg (0.0000, 0.6338, 0.9331)
Mg (0.0000, 0.5815, 0.4185)
Mg (0.5000, 0.4325, 0.1335)
Mg (0.5000, 0.8665, 0.5675)
Mg (0.5000, 0.9189, 0.0811)

Calculated values
Its total magnetization is 0.0 Bohr magnetons per cell. The calculation puts the formation energy at -66 meV per atom. The value obtained for the mass density is 3.9 g/cm3. Its symmetry is Amm2, No. 38.